Entry 1:
A plane-wave DFT calculation with PBE was carried out for a geometry-optimized Y2FeAu structure.

```
Y2FeAu
1.0
3.545 0.000 0.000
0.000 3.545 0.000
0.000 0.000 7.475
Y Fe Au
2 1 1
Direct
0.000 0.000 0.000
0.500 0.500 0.378
0.500 0.500 0.779
0.000 0.000 0.601
```

Computed properties:
magnetization: 2.339 μB/cell
space group: P4mm (99)
formation enthalpy at 0 K: -0.10 eV/atom

Entry 2:
A plane-wave DFT calculation with PBE was carried out for a geometry-optimized BeTl2Te structure.

```
BeTl2Te
1.0
2.099 1.212 6.868
-2.099 1.212 6.868
0.000 -2.424 6.868
Be Tl Te
1 2 1
Direct
0.000 0.000 0.000
0.265 0.265 0.265
0.735 0.735 0.735
0.500 0.500 0.500
```

Computed properties:
energy above the lowest structure with this stoichiometry: 0.345 eV per atom
raw formation energy: 361 meV per atom
magnetization: 0.000 μB/cell
space group: R-3m (166)